# 1
Computed, not measured: crystalline LaTb5Y2Er at its relaxed geometry at the PBE level of DFT.

Structure (POSCAR):
```
LaTb5Y2Er
1.0
5.657 0.000 0.000
-2.829 9.922 0.000
0.000 0.000 10.585
La Tb Y Er
2 10 4 2
Cartesian
2.829 1.626 10.092
0.000 8.296 4.799
0.000 7.665 0.238
2.829 4.325 8.612
0.000 9.529 7.814
0.000 5.892 7.493
2.829 9.554 5.557
2.829 2.257 5.531
0.000 5.597 3.319
2.829 0.393 2.522
2.829 4.029 2.200
0.000 0.368 0.264
2.829 7.661 8.674
0.000 2.214 7.753
0.000 2.260 3.381
2.829 7.708 2.461
2.829 5.932 5.415
0.000 3.990 0.123
```

Results
Formation energy from the elements ... 1.428 eV per formula unit


# 2
Computed, not measured: crystalline La6TbYEr2 at its relaxed geometry at the PBE level of DFT.

Structure (POSCAR):
```
La6TbYEr2
1.0
8.968 -1.760 -1.827
1.017 8.815 -1.833
1.017 -2.158 8.741
La Tb Y Er
12 2 2 4
Cartesian
1.584 -1.090 6.432
4.934 -0.691 6.846
9.419 5.987 -1.351
6.068 5.588 -1.764
3.347 -1.394 3.377
3.172 2.351 7.263
7.656 6.291 1.705
7.831 2.546 -2.181
2.136 5.106 2.414
4.382 3.554 0.803
8.866 -0.209 2.668
6.620 1.343 4.279
3.259 2.009 3.845
7.743 2.888 1.237
3.259 7.776 -1.712
7.743 -2.879 6.794
5.447 4.735 3.927
1.072 2.029 1.118
5.556 0.162 1.155
9.931 2.868 3.964
```

Results
Formation energy from the elements ... 1.157 eV per formula unit


Question: Which of these has the lowest formation energy from the elements?
Answer: La6TbYEr2